No. 1
DFT (PBE) results for a relaxed NaYZnS3 crystal.

Summary:
relative energy among the computed polymorphs = 0.000 eV per atom

Lattice parameters (Å, degrees): 3.9069 12.9742 10.5839 90.00 90.00 90.00
Closest atoms and distances in Å follow each position.
Space group Cmcm (No. 63)
One atom of each set of equivalent atoms:
Na 0.0000 0.2484 0.2500 (multiplicity 4)  6 S 2.98-3.09
Y 0.0000 0.0000 0.0000 (multiplicity 4)  6 S 2.73-2.83
Zn 0.0000 0.4677 0.7500 (multiplicity 4)  4 S 2.31-2.42
S 0.0000 0.0778 0.7500 (multiplicity 4)  2 Zn 2.42
S 0.0000 0.3654 0.5717 (multiplicity 8)  1 Zn 2.31

---

No. 2
DFT (PBE) results for a relaxed CsZrTe crystal.

Summary:
relative energy among the computed polymorphs = 0.000 eV per atom

Lattice parameters (Å, degrees): 7.3208 7.3208 7.3208 90.00 90.00 90.00
Closest atoms and distances in Å follow each position.
Space group F-43m (No. 216)
One atom of each set of equivalent atoms:
Cs 0.0000 0.0000 0.0000 (multiplicity 4)  4 Zr 3.17
Zr 0.2500 0.2500 0.2500 (multiplicity 4)  4 Te 3.17, 4 Cs 3.17
Te 0.0000 0.0000 0.5000 (multiplicity 4)  4 Zr 3.17

---

No. 3
DFT (PBE) results for a relaxed Li2ZnIn crystal.

Lattice parameters (Å, degrees): 4.5125 4.4946 6.5010 90.00 90.00 90.00
Closest atoms and distances in Å follow each position.
Space group Pmma (No. 51)
One atom of each set of equivalent atoms:
Li 0.2500 0.0000 0.1073 (multiplicity 2)  2 Zn 2.63, 4 Li 2.65-2.77, 2 In 2.78
Li 0.2500 0.5000 0.3564 (multiplicity 2)  4 Li 2.77-2.93, 3 Zn 2.79-2.99, 2 In 2.92
Zn 0.2500 0.5000 0.8959 (multiplicity 2)  2 Zn 2.63, 4 Li 2.63-2.79, 2 In 2.79
In 0.2500 0.0000 0.6428 (multiplicity 2)  5 Li 2.78-3.02, 2 Zn 2.79, 2 In 2.92

---

No. 4
DFT (PBE) results for a relaxed SmCuPd crystal.

Summary:
relative energy among the computed polymorphs = 0.000 eV per atom

Lattice parameters (Å, degrees): 6.4757 6.4757 6.4757 90.00 90.00 90.00
Closest atoms and distances in Å follow each position.
Space group F-43m (No. 216)
One atom of each set of equivalent atoms:
Sm 0.0000 0.0000 0.0000 (multiplicity 4)  4 Pd 2.80
Cu 0.0000 0.0000 0.5000 (multiplicity 4)  4 Pd 2.80
Pd 0.2500 0.2500 0.7500 (multiplicity 4)  4 Cu 2.80, 4 Sm 2.80

---

No. 5
DFT (PBE) results for a relaxed CdNiPbSe3 crystal.

Summary:
relative energy among the computed polymorphs = 0.000 eV per atom

Lattice parameters (Å, degrees): 3.9749 13.4814 10.6604 90.00 90.00 90.00
Closest atoms and distances in Å follow each position.
Space group Cmcm (No. 63)
One atom of each set of equivalent atoms:
Cd 0.0000 0.0000 0.0000 (multiplicity 4)  6 Se 2.84
Ni 0.0000 0.4731 0.2500 (multiplicity 4)  4 Se 2.40-2.42
Pb 0.0000 0.2411 0.7500 (multiplicity 4)  6 Se 3.07-3.19
Se 0.0000 0.0734 0.2500 (multiplicity 4)  2 Ni 2.40
Se 0.0000 0.3613 0.0727 (multiplicity 8)  1 Ni 2.42

---

No. 6
DFT (PBE) results for a relaxed Cu2Ag3 crystal.

Summary:
relative energy among the computed polymorphs = 0.048 eV per atom

Lattice parameters (Å, degrees): 11.8027 2.8551 9.3657 90.00 99.62 90.00
Closest atoms and distances in Å follow each position.
Space group Cm (No. 8)
One atom of each set of equivalent atoms:
Cu 0.0000 0.0000 0.0000 (multiplicity 2)  9 Ag 2.69-2.95, 2 Cu 2.86
Cu 0.0089 0.5000 0.4992 (multiplicity 2)  6 Cu 2.57-2.86, 4 Ag 2.80-2.83
Cu 0.0990 0.0000 0.3195 (multiplicity 2)  5 Cu 2.57-2.86, 6 Ag 2.69-2.76
Cu 0.1889 0.0000 0.5949 (multiplicity 2)  5 Cu 2.59-2.86, 6 Ag 2.74-2.83
Ag 0.0991 0.5000 0.7989 (multiplicity 2)  5 Cu 2.74-2.83, 7 Ag 2.84-2.94
Ag 0.1875 0.5000 0.1115 (multiplicity 2)  4 Cu 2.69-2.76, 8 Ag 2.84-3.01
Ag 0.2966 0.5000 0.4054 (multiplicity 2)  6 Ag 2.73-2.88, 6 Cu 2.74-2.89
Ag 0.3056 0.0000 0.9079 (multiplicity 2)  3 Cu 2.72-3.02, 9 Ag 2.83-2.92
Ag 0.3950 0.5000 0.6906 (multiplicity 2)  7 Ag 2.73-2.86, 5 Cu 2.80-2.95
Ag 0.4123 0.0000 0.2054 (multiplicity 2)  5 Cu 2.69-2.80, 7 Ag 2.86-3.01

---

No. 7
DFT (PBE) results for a relaxed Zr2Be7 crystal.

Lattice parameters (Å, degrees): 4.6539 4.6539 21.7003 90.00 90.00 120.00
Closest atoms and distances in Å follow each position.
Space group P6_3/mmc (No. 194)
One atom of each set of equivalent atoms:
Zr 0.3333 0.6667 0.0264 (multiplicity 4)  12 Be 2.71-2.87, 3 Zr 2.92
Zr 0.3333 0.6667 0.1738 (multiplicity 4)  18 Be 2.69-2.95
Be 0.0000 0.0000 0.0000 (multiplicity 2)  6 Be 2.37
Be 0.0000 0.0000 0.1699 (multiplicity 4)  6 Be 2.19
Be 0.1659 0.3319 0.7500 (multiplicity 6)  8 Be 2.19-2.34
Be 0.1663 0.3326 0.5903 (multiplicity 12)  7 Be 2.19-2.37
Be 0.3333 0.6667 0.6707 (multiplicity 4)  6 Be 2.19-2.20

---

No. 8
DFT (PBE) results for a relaxed LuSbAsO crystal.

Summary:
relative energy among the computed polymorphs = 0.688 eV per atom

Lattice parameters (Å, degrees): 4.7537 4.7537 7.2711 90.00 90.00 90.00
Closest atoms and distances in Å follow each position.
Space group P4/nmm (No. 129, origin choice 2)
One atom of each set of equivalent atoms:
Lu 0.2500 0.7500 0.0000 (multiplicity 2)  4 As 2.73
Sb 0.2500 0.2500 0.4322 (multiplicity 2)  4 O 2.43
As 0.2500 0.2500 0.8140 (multiplicity 2)  4 Lu 2.73, 1 Sb 2.78
O 0.2500 0.7500 0.5000 (multiplicity 2)  4 Sb 2.43

---

No. 9
DFT (PBE) results for a relaxed ErTlFeSe3 crystal.

Summary:
relative energy among the computed polymorphs = 0.073 eV per atom

Lattice parameters (Å, degrees): 11.3282 4.2303 12.4799 90.00 90.00 90.00
Closest atoms and distances in Å follow each position.
Space group Pnma (No. 62)
One atom of each set of equivalent atoms:
Er 0.0198 0.2500 0.1766 (multiplicity 4)  7 Se 2.86-3.14
Tl 0.1727 0.2500 0.4983 (multiplicity 4)  7 Se 3.25-3.41, 2 Fe 3.42
Fe 0.2470 0.2500 0.7959 (multiplicity 4)  4 Se 2.42-2.46
Se 0.0427 0.7500 0.3298 (multiplicity 4)  1 Fe 2.42
Se 0.1002 0.2500 0.9391 (multiplicity 4)  1 Fe 2.44
Se 0.2207 0.7500 0.6977 (multiplicity 4)  2 Fe 2.46

---

Number 1: uncorrected energy -4.993 eV/atom, calculated volume 536.48 Å³ per cell, mass density 3.386 g/cm3. Number 2: uncorrected energy -3.772 eV/atom, calculated volume 392.36 Å³ per cell, mass density 5.954 g/cm3. Number 3: uncorrected energy -2.220 eV/atom, calculated volume 131.85 Å³ per cell, mass density 4.889 g/cm3. Number 4: uncorrected energy -4.889 eV/atom, calculated volume 271.55 Å³ per cell, mass density 7.835 g/cm3. Number 5: uncorrected energy -3.719 eV/atom, calculated volume 571.26 Å³ per cell, mass density 7.153 g/cm3. Number 6: uncorrected energy -3.101 eV/atom, calculated volume 311.17 Å³ per cell, mass density 9.620 g/cm3. Number 7: uncorrected energy -4.993 eV/atom, calculated volume 407.04 Å³ per cell, mass density 4.007 g/cm3. Number 8: uncorrected energy -5.257 eV/atom, calculated volume 164.31 Å³ per cell, mass density 7.835 g/cm3. Number 9: uncorrected energy -5.146 eV/atom, calculated volume 598.06 Å³ per cell, mass density 7.379 g/cm3.